Ba2NaTl6Au (PBE, relaxed); DFT formation energy = -0.092 eV/atom; SG = Fm-3m; DFT total energy = -0.1732 Ry/atom
1.0
-3.7986 6.9696 0.4822
-0.3750 -0.7516 7.9077
2.8461 5.7639 4.6812
Ba Na Tl Au
2 1 6 1
Cartesian
0.1921 4.0607 8.3919 Ba
-1.5196 7.9213 4.6792 Ba
-2.0868 3.1090 4.1950 Na
-1.2284 1.1731 6.0567 Tl
-3.1332 4.6680 6.2985 Tl
0.3868 4.4403 4.4388 Tl
-2.9452 5.0449 2.3332 Tl
-1.0404 1.5501 2.0915 Tl
-1.7143 7.5417 8.6324 Tl
0.0000 0.0000 0.0000 Au